Compound: ReAsBr3
Source: Alexandria via LeMat-Bulk
Functional: PBE
Structure: relaxed

Values from the calculation:
Total moment: 5.839 μB/cell
Final energy: -3.352 eV per atom
Uncorrected formation energy: 1.07 eV per atom

a = 5.3824 Å, b = 5.3824 Å, c = 5.3824 Å
α = 90.00°, β = 90.00°, γ = 90.00°
Positions (direct):
Re (0.0000, 0.0000, 0.0000)
As (0.5000, 0.5000, 0.5000)
Br (0.0000, 0.5000, 0.5000)
Br (0.5000, 0.0000, 0.5000)
Br (0.5000, 0.5000, 0.0000)